Ce2Ga3Ni4Rh: relaxed, GGA-PBE.

CIF file:
```
data_Ce2Ga3Ni4Rh
_cell_length_a 3.801
_cell_length_b 3.801
_cell_length_c 11.378
_cell_angle_alpha 90.00
_cell_angle_beta 90.00
_cell_angle_gamma 90.00
_symmetry_space_group_name_H-M 'P -4 m 2'
_symmetry_Int_Tables_number 115
_symmetry_space_group_name_Hall 'P -4 -2'
loop_
_atom_site_label
_atom_site_fract_x
_atom_site_fract_y
_atom_site_fract_z
Ce1 0.000 0.500 0.232
Ga1 0.000 0.000 0.000
Ga2 0.000 0.500 0.628
Ni1 0.000 0.000 0.500
Ni2 0.000 0.500 0.841
Ni3 0.500 0.500 0.500
Rh1 0.500 0.500 0.000
```

=====

CeGa5Ni2Rh: relaxed, GGA-PBE.

CIF file:
```
data_CeGa5Ni2Rh
_cell_length_a 4.644
_cell_length_b 4.644
_cell_length_c 7.065
_cell_angle_alpha 90.00
_cell_angle_beta 90.00
_cell_angle_gamma 90.00
_symmetry_space_group_name_H-M 'P 4/m m m'
_symmetry_Int_Tables_number 123
_symmetry_space_group_name_Hall '-P 4 2'
loop_
_atom_site_label
_atom_site_fract_x
_atom_site_fract_y
_atom_site_fract_z
Ce1 0.000 0.000 0.000
Ga1 0.000 0.500 0.307
Ga2 0.500 0.500 0.000
Ni1 0.500 0.500 0.325
Rh1 0.000 0.000 0.500
```

=====

Ce2GaNi5Rh2: relaxed, GGA-PBE.

CIF file:
```
data_Ce2GaNi5Rh2
_cell_length_a 8.971
_cell_length_b 8.971
_cell_length_c 3.891
_cell_angle_alpha 90.00
_cell_angle_beta 90.00
_cell_angle_gamma 90.00
_symmetry_space_group_name_H-M 'P 4/m b m'
_symmetry_Int_Tables_number 127
_symmetry_space_group_name_Hall '-P 4 2ab'
loop_
_atom_site_label
_atom_site_fract_x
_atom_site_fract_y
_atom_site_fract_z
Ce1 0.174 0.326 0.000
Ga1 0.000 0.000 0.000
Ni1 0.000 0.500 0.500
Ni2 0.053 0.807 0.500
Rh1 0.132 0.632 0.000
```

=====

CeGa2Ni2Rh: relaxed, GGA-PBE.

CIF file:
```
data_CeGa2Ni2Rh
_cell_length_a 4.691
_cell_length_b 4.691
_cell_length_c 5.143
_cell_angle_alpha 90.00
_cell_angle_beta 90.00
_cell_angle_gamma 90.00
_symmetry_space_group_name_H-M 'P 4/m m m'
_symmetry_Int_Tables_number 123
_symmetry_space_group_name_Hall '-P 4 2'
loop_
_atom_site_label
_atom_site_fract_x
_atom_site_fract_y
_atom_site_fract_z
Ce1 0.000 0.000 0.000
Ga1 0.000 0.500 0.500
Ni1 0.500 0.500 0.248
Rh1 0.000 0.000 0.500
```

=====

CeGaNiRh: relaxed, GGA-PBE.

CIF file:
```
data_CeGaNiRh
_cell_length_a 6.510
_cell_length_b 6.510
_cell_length_c 6.510
_cell_angle_alpha 90.00
_cell_angle_beta 90.00
_cell_angle_gamma 90.00
_symmetry_space_group_name_H-M 'F -4 3 m'
_symmetry_Int_Tables_number 216
_symmetry_space_group_name_Hall 'F -4 2 3'
loop_
_atom_site_label
_atom_site_fract_x
_atom_site_fract_y
_atom_site_fract_z
Ce1 0.000 0.000 0.000
Ga1 0.000 0.000 0.500
Ni1 0.250 0.250 0.750
Rh1 0.250 0.250 0.250
```

=====

Ce2Ga5NiRu2: relaxed, GGA-PBE.

CIF file:
```
data_Ce2Ga5NiRu2
_cell_length_a 10.527
_cell_length_b 10.527
_cell_length_c 3.139
_cell_angle_alpha 90.00
_cell_angle_beta 90.00
_cell_angle_gamma 90.00
_symmetry_space_group_name_H-M 'P 4/m b m'
_symmetry_Int_Tables_number 127
_symmetry_space_group_name_Hall '-P 4 2ab'
loop_
_atom_site_label
_atom_site_fract_x
_atom_site_fract_y
_atom_site_fract_z
Ce1 0.185 0.315 0.000
Ga1 0.000 0.500 0.500
Ga2 0.048 0.817 0.500
Ni1 0.000 0.000 0.000
Ru1 0.136 0.636 0.000
```

=====

no.,spin magnetization (μB per atom),E_form (eV/atom),uncorrected energy (eV per cell)
1,0.000,-0.52,-56.6
2,0.123,-0.35,-43.1
3,0.000,-0.39,-124.8
4,0.063,-0.18,-32.0
5,0.000,-0.51,-96.5
6,0.100,-0.40,-110.7